HfCu2F8 | PBE-GGA | relaxed

The energy above the most stable polymorph in this dataset comes out at 0.061 eV/atom. Its final energy is -59.646 eV for the cell shown. Its uncorrected formation energy is -2.41 eV/atom. The total magnetic moment comes out at 1.96 Bohr magnetons per cell.

The structure belongs to space group P-3m1 (No. 164); the cell edges are 6.4789, 6.4789 and 3.9951 Å and the angles 90.00°, 90.00° and 120.00°. The inequivalent atoms are Hf at (0.0000, 0.0000, 0.0000), Cu at (0.3333, 0.6667, 0.7395), F at (0.1541, 0.3081, 0.7443) and F at (0.3333, 0.6667, 0.2402).